Arrangement A

DFT (GGA-PBE) results for PmTh2Sb3 after structural relaxation.

POSCAR file:
```
PmTh2Sb3
1.0
8.6209 -2.2389 0.0000
8.6209 2.2389 0.0000
-3.3945 0.0000 10.3812
Pm Th Sb
2 4 6
Direct
0.0000 0.0000 0.0000
0.5000 0.5000 0.5000
0.1663 0.1663 0.8323
0.3339 0.3339 0.6680
0.6661 0.6661 0.3320
0.8337 0.8337 0.1677
0.0279 0.0279 0.3057
0.3056 0.3056 0.3615
0.3610 0.3610 0.9726
0.6390 0.6390 0.0274
0.6944 0.6944 0.6385
0.9721 0.9721 0.6943
```

crystal system	monoclinic

***

Arrangement B

DFT (GGA-PBE) results for PmTh2Sb3 after structural relaxation.

POSCAR file:
```
PmTh2Sb3
1.0
-2.2464 3.1821 6.7677
2.2464 -3.1821 6.7677
2.2464 3.1821 -6.7677
Pm Th Sb
1 2 3
Direct
0.0000 0.0000 0.0000
0.3338 0.3338 0.0000
0.6662 0.6662 0.0000
0.1662 0.6662 0.5000
0.5000 0.0000 0.5000
0.8338 0.3338 0.5000
```

crystal system	orthorhombic

***

Stability, highest: arrangement B

***

Arrangement A

DFT (GGA-PBE) results for Pm3ThSb3 after structural relaxation.

POSCAR file:
```
Pm3ThSb3
1.0
4.6370 2.6771 6.2886
-4.6370 2.6771 6.2886
0.0000 -5.3543 6.2886
Pm Th Sb
6 2 6
Direct
0.0894 0.8162 0.3527
0.1838 0.6473 0.9106
0.3527 0.0894 0.8162
0.6473 0.9106 0.1838
0.8162 0.3527 0.0894
0.9106 0.1838 0.6473
0.3325 0.3325 0.3325
0.6675 0.6675 0.6675
0.0774 0.4621 0.7004
0.2996 0.9226 0.5379
0.4621 0.7004 0.0774
0.5379 0.2996 0.9226
0.7004 0.0774 0.4621
0.9226 0.5379 0.2996
```

crystal system	trigonal

***

Arrangement B

DFT (GGA-PBE) results for Pm3ThSb3 after structural relaxation.

POSCAR file:
```
Pm3ThSb3
1.0
9.4568 0.0000 0.0000
0.0000 9.4568 0.0000
0.0000 0.0000 9.4568
Pm Th Sb
12 4 12
Direct
0.0712 0.4288 0.5712
0.1801 0.1801 0.1801
0.1800 0.8200 0.3200
0.3200 0.1800 0.8200
0.3199 0.8199 0.6801
0.4288 0.5712 0.0712
0.5712 0.0712 0.4288
0.6801 0.3199 0.8199
0.6800 0.6800 0.6800
0.8200 0.3200 0.1800
0.8199 0.6801 0.3199
0.9288 0.9288 0.9288
0.0716 0.5716 0.9284
0.4284 0.4284 0.4284
0.5716 0.9284 0.0716
0.9284 0.0716 0.5716
0.9999 0.2491 0.8754
0.0001 0.7491 0.6246
0.1246 0.4999 0.2509
0.2491 0.8754 0.9999
0.2509 0.1246 0.4999
0.3754 0.5001 0.7509
0.4999 0.2509 0.1246
0.5001 0.7509 0.3754
0.6246 0.0001 0.7491
0.7491 0.6246 0.0001
0.7509 0.3754 0.5001
0.8754 0.9999 0.2491
```

crystal system	cubic

***

Stability, highest: arrangement B

***

Arrangement A

DFT (GGA-PBE) results for Pm2TiSb after structural relaxation.

POSCAR file:
```
Pm2TiSb
1.0
1.6927 0.9773 11.5013
-1.6927 0.9773 11.5013
0.0000 -1.9546 11.5013
Pm Ti Sb
2 1 1
Direct
0.0927 0.0927 0.0927
0.9073 0.9073 0.9073
0.5000 0.5000 0.5000
0.0000 0.0000 0.0000
```

crystal system	trigonal

***

Arrangement B

DFT (GGA-PBE) results for Pm2TiSb after structural relaxation.

POSCAR file:
```
Pm2TiSb
1.0
5.0192 0.0000 0.0000
0.0000 5.0192 0.0000
0.0000 0.0000 4.2641
Pm Ti Sb
2 1 1
Direct
0.0000 0.5000 0.0000
0.5000 0.0000 0.0000
0.0000 0.0000 0.5000
0.5000 0.5000 0.5000
```

crystal system	tetragonal

***

Stability, highest: arrangement B

***

Arrangement A

DFT (GGA-PBE) results for Pm2TlSb after structural relaxation.

POSCAR file:
```
Pm2TlSb
1.0
2.2852 -12.3846 0.0000
2.2852 12.3846 0.0000
0.0000 0.0000 4.4852
Pm Tl Sb
4 2 2
Direct
0.0642 0.9358 0.7500
0.3149 0.6851 0.7500
0.6851 0.3149 0.2500
0.9358 0.0642 0.2500
0.4555 0.5445 0.7500
0.5445 0.4555 0.2500
0.1883 0.8117 0.7500
0.8117 0.1883 0.2500
```

crystal system	orthorhombic

***

Arrangement B

DFT (GGA-PBE) results for Pm2TlSb after structural relaxation.

POSCAR file:
```
Pm2TlSb
1.0
4.0605 0.0000 0.0000
0.0000 4.0605 0.0000
0.0000 0.0000 7.0302
Pm Tl Sb
2 1 1
Direct
0.0000 0.0000 0.2392
0.0000 0.0000 0.7608
0.5000 0.5000 0.5000
0.5000 0.5000 0.0000
```

crystal system	tetragonal

***

Arrangement C

DFT (GGA-PBE) results for Pm2TlSb after structural relaxation.

POSCAR file:
```
Pm2TlSb
1.0
0.0000 3.8744 3.8744
3.8744 0.0000 3.8744
3.8744 3.8744 0.0000
Pm Tl Sb
2 1 1
Direct
0.2500 0.2500 0.2500
0.7500 0.7500 0.7500
0.0000 0.0000 0.0000
0.5000 0.5000 0.5000
```

crystal system	cubic

***

Arrangement D

DFT (GGA-PBE) results for Pm2TlSb after structural relaxation.

POSCAR file:
```
Pm2TlSb
1.0
8.3994 0.0000 0.0000
0.0000 4.1919 0.0000
0.0000 0.0000 14.6934
Pm Tl Sb
8 4 4
Direct
0.1842 0.2500 0.0106
0.1870 0.7500 0.7629
0.3130 0.2500 0.2629
0.3158 0.7500 0.5106
0.6842 0.2500 0.4894
0.6870 0.7500 0.7371
0.8130 0.2500 0.2371
0.8158 0.7500 0.9894
0.0459 0.2500 0.4186
0.4541 0.7500 0.9186
0.5459 0.2500 0.0814
0.9541 0.7500 0.5814
0.0665 0.7500 0.1605
0.4335 0.2500 0.6605
0.5665 0.7500 0.3395
0.9335 0.2500 0.8395
```

crystal system	orthorhombic

***

Stability, highest: arrangement A